VASP calculation (PBE) on Tb4Cd3Hg after structural relaxation.

Geometry as POSCAR:
```
Tb4Cd3Hg
1.0
3.7564 0.0000 0.0000
0.0000 3.7564 0.0000
0.0000 0.0000 14.9867
Tb Cd Hg
4 3 1
direct
0.0000 0.0000 0.1232
0.0000 0.0000 0.3743
0.0000 0.0000 0.8768
0.0000 0.0000 0.6257
0.5000 0.5000 0.7495
0.5000 0.5000 0.5000
0.5000 0.5000 0.2505
0.5000 0.5000 0.0000
```

Output
Calculated density, Mg/m³: 9.22
Relative energy among the computed polymorphs, meV/atom: 0
Formation energy from the elements, eV/atom: -0.36

VASP calculation (PBE) on TbCd3Hg4 after structural relaxation.

Geometry as POSCAR:
```
TbCd3Hg4
1.0
4.8082 0.0000 0.0000
0.0000 8.1796 0.0000
0.0000 0.0000 9.6165
Cd Hg Tb
6 8 2
direct
0.5001 0.0000 0.2500
0.5000 0.5000 0.7500
0.5000 0.5000 0.2500
0.0000 0.0000 0.0000
0.4999 0.0000 0.7500
0.0000 0.0000 0.5000
0.0001 0.7555 0.2500
0.5000 0.2446 0.0000
0.5000 0.7554 0.5000
0.5000 0.7554 0.0000
0.9999 0.7555 0.7500
0.9999 0.2445 0.7500
0.5000 0.2446 0.5000
0.0001 0.2445 0.2500
0.0000 0.5000 0.0000
0.0000 0.5000 0.5000
```

Output
Calculated density, Mg/m³: 11.40
Relative energy among the computed polymorphs, meV/atom: 0
Formation energy from the elements, eV/atom: -0.18

VASP calculation (PBE) on Tb3Cd7Hg2 after structural relaxation.

Geometry as POSCAR:
```
Tb3Cd7Hg2
1.0
5.9408 0.0000 0.0000
2.9704 5.1449 0.0000
2.9704 1.7150 9.5534
Hg Tb Cd
2 3 7
direct
0.3353 0.3353 0.9942
0.6647 0.6647 0.0058
0.1410 0.1410 0.5770
0.8590 0.8590 0.4230
0.0000 0.0000 0.0000
0.5897 0.5897 0.7428
0.4103 0.4103 0.2572
0.9223 0.4103 0.2572
0.4103 0.9223 0.2572
0.5897 0.0777 0.7428
0.0777 0.5897 0.7428
0.5000 0.5000 0.5000
```

Output
Calculated density, Mg/m³: 9.47
Formation energy from the elements, eV/atom: -0.20

VASP calculation (PBE) on TbCd3Hg4 after structural relaxation.

Geometry as POSCAR:
```
TbCd3Hg4
1.0
4.7597 0.0000 0.0000
0.0000 4.4665 -0.2157
-2.3799 -1.7534 9.1678
Hg Cd Tb
4 3 1
direct
0.2521 0.7529 0.5042
0.6218 0.6207 0.2435
0.3782 0.3793 0.7565
0.7479 0.2471 0.4958
0.1281 0.1278 0.2562
0.8719 0.8722 0.7438
0.0000 0.5000 0.0000
0.5000 0.0000 0.0000
```

Output
Calculated density, Mg/m³: 11.17
Relative energy among the computed polymorphs, meV/atom: 37
Formation energy from the elements, eV/atom: -0.14

VASP calculation (PBE) on Tb3CdHg3 after structural relaxation.

Geometry as POSCAR:
```
Tb3CdHg3
1.0
5.2063 0.0000 0.0000
0.0000 9.0733 0.0000
0.0000 -4.5366 7.8577
Cd Hg Tb
2 6 6
direct
0.2500 0.6667 0.3333
0.7500 0.3333 0.6667
0.7500 0.2061 0.2471
0.2500 0.7939 0.7529
0.7500 0.7529 0.9590
0.7500 0.0410 0.7939
0.2500 0.9590 0.2061
0.2500 0.2471 0.0410
0.7500 0.9007 0.3478
0.2500 0.5528 0.9007
0.2500 0.0993 0.6522
0.2500 0.3478 0.4472
0.7500 0.4472 0.0993
0.7500 0.6522 0.5528
```

Output
Calculated density, Mg/m³: 10.66
Relative energy among the computed polymorphs, meV/atom: 34
Formation energy from the elements, eV/atom: -0.28

VASP calculation (PBE) on TbCd2Hg after structural relaxation.

Geometry as POSCAR:
```
TbCd2Hg
1.0
3.3117 0.0000 0.0000
1.6558 2.8680 0.0000
1.6558 0.9560 11.3834
Tb Cd Hg
1 2 1
direct
0.0000 0.0000 0.0000
0.9081 0.9081 0.2756
0.0919 0.0919 0.7244
0.5000 0.5000 0.5000
```

Output
Calculated density, Mg/m³: 8.97
Relative energy among the computed polymorphs, meV/atom: 482
Formation energy from the elements, eV/atom: 0.16

VASP calculation (PBE) on Tb12Cd5Hg2 after structural relaxation.

Geometry as POSCAR:
```
Tb12Cd5Hg2
1.0
-3.7814 5.2392 -8.3699
-3.1761 -0.9284 7.5327
2.1996 7.2243 3.5283
Tb Cd Hg
12 5 2
direct
0.3408 0.3307 0.1861
0.8326 0.2121 0.6063
0.9898 0.3307 0.1861
0.6205 0.7879 0.3937
0.4020 0.8039 0.7124
0.6592 0.6693 0.8139
0.5980 0.1961 0.2876
0.1082 0.2165 0.8427
0.3795 0.2121 0.6063
0.1674 0.7879 0.3937
0.0102 0.6693 0.8139
0.8918 0.7835 0.1573
0.0000 0.0000 0.5000
0.3762 0.7524 0.1074
0.6238 0.2476 0.8926
0.7640 0.5280 0.5272
0.2360 0.4720 0.4728
0.2642 0.0000 0.0000
0.7358 0.0000 0.0000
```

Output
Calculated density, Mg/m³: 8.85
Formation energy from the elements, eV/atom: -0.17

VASP calculation (PBE) on Tb5Cd2Hg after structural relaxation.

Geometry as POSCAR:
```
Tb5Cd2Hg
1.0
5.2143 0.0000 0.0000
0.0000 6.6518 0.0000
0.0000 0.0000 12.9739
Tb Cd Hg
10 4 2
direct
0.5000 0.3370 0.1122
0.5000 0.6630 0.8878
0.0000 0.1348 0.2758
0.0000 0.0000 0.0000
0.0000 0.5000 0.5000
0.5000 0.1630 0.6122
0.5000 0.8370 0.3878
0.0000 0.6348 0.2242
0.0000 0.8652 0.7242
0.0000 0.3652 0.7758
0.5000 0.3672 0.3619
0.5000 0.6328 0.6381
0.5000 0.8672 0.1381
0.5000 0.1328 0.8619
0.0000 0.0000 0.5000
0.0000 0.5000 0.0000
```

Output
Calculated density, Mg/m³: 9.00
Formation energy from the elements, eV/atom: -0.24

VASP calculation (PBE) on Tb5CdHg8 after structural relaxation.

Geometry as POSCAR:
```
Tb5CdHg8
1.0
7.3752 0.0000 -2.5854
-3.6564 6.3931 -2.6148
-0.0623 0.0000 7.8150
Hg Tb Cd
8 5 1
direct
0.1411 0.7505 0.5582
0.6095 0.4172 0.8589
0.4418 0.5828 0.1923
0.1162 0.7447 0.0231
0.6285 0.9069 0.8838
0.9769 0.0931 0.7216
0.8077 0.2495 0.3905
0.2784 0.2553 0.3715
0.7405 0.6240 0.6024
0.5000 0.0000 0.5000
0.8835 0.8619 0.2595
0.9784 0.3760 0.1165
0.3976 0.1381 0.0216
0.2500 0.5000 0.7500
```

Output
Calculated density, Mg/m³: 11.35
Formation energy from the elements, eV/atom: -0.35

VASP calculation (PBE) on Tb4CdHg2 after structural relaxation.

Geometry as POSCAR:
```
Tb4CdHg2
1.0
0.7542 -1.6059 4.9171
1.6229 -4.8802 0.9359
8.7392 0.4078 1.5713
Tb Hg Cd
4 2 1
direct
0.6178 0.6178 0.1467
0.3822 0.3822 0.8533
0.8703 0.8703 0.3892
0.1297 0.1297 0.6108
0.7469 0.7469 0.7593
0.2531 0.2531 0.2407
0.0000 0.0000 0.0000
```

Output
Calculated density, Mg/m³: 9.65
Relative energy among the computed polymorphs, meV/atom: 0
Formation energy from the elements, eV/atom: -0.27

VASP calculation (PBE) on Tb3Cd2Hg after structural relaxation.

Geometry as POSCAR:
```
Tb3Cd2Hg
1.0
3.7542 0.0000 0.0000
0.0000 3.7542 0.0000
0.0000 0.0000 11.2403
Hg Cd Tb
1 2 3
direct
0.5000 0.5000 0.5000
0.5000 0.5000 0.1655
0.5000 0.5000 0.8345
0.0000 0.0000 0.6646
0.0000 0.0000 0.0000
0.0000 0.0000 0.3354
```

Output
Calculated density, Mg/m³: 9.46
Formation energy from the elements, eV/atom: -0.37

VASP calculation (PBE) on Tb11Cd9Hg4 after structural relaxation.

Geometry as POSCAR:
```
Tb11Cd9Hg4
1.0
3.7899 0.0000 0.0000
0.0000 12.3707 -5.2221
0.0000 0.0596 13.4277
Cd Tb Hg
9 11 4
direct
0.5000 0.1485 0.6316
0.5000 0.9476 0.7930
0.5000 0.7930 0.9476
0.5000 0.3684 0.8515
0.5000 0.6316 0.1485
0.5000 0.2070 0.0524
0.5000 0.0524 0.2070
0.5000 0.8515 0.3684
0.5000 0.5000 0.5000
0.0000 0.2696 0.2696
0.0000 0.7304 0.7304
0.0000 0.0000 0.0000
0.0000 0.6457 0.3543
0.0000 0.0666 0.4116
0.0000 0.4116 0.0666
0.0000 0.3543 0.6457
0.0000 0.1658 0.8342
0.0000 0.9334 0.5884
0.0000 0.8342 0.1658
0.0000 0.5884 0.9334
0.5000 0.5516 0.7419
0.5000 0.4484 0.2581
0.5000 0.7419 0.5516
0.5000 0.2581 0.4484
```

Output
Calculated density, Mg/m³: 9.38
Formation energy from the elements, eV/atom: -0.35

VASP calculation (PBE) on TbCd2Hg after structural relaxation.

Geometry as POSCAR:
```
TbCd2Hg
1.0
-0.8576 4.8040 1.4567
-3.4791 -3.5999 0.9344
3.5344 -2.7839 2.3809
Hg Tb Cd
1 1 2
direct
0.6251 0.5625 0.1876
0.1250 0.3125 0.4375
0.1250 0.8125 0.9375
0.6249 0.0625 0.6875
```

Output
Calculated density, Mg/m³: 10.39
Relative energy among the computed polymorphs, meV/atom: 0
Formation energy from the elements, eV/atom: -0.32

VASP calculation (PBE) on TbCdHg2 after structural relaxation.

Geometry as POSCAR:
```
TbCdHg2
1.0
5.1114 0.0000 0.0000
2.5557 4.4266 0.0000
2.5557 1.4755 4.1735
Tb Cd Hg
1 1 2
direct
0.7500 0.7500 0.7500
0.2500 0.2500 0.2500
0.0000 0.0000 0.0000
0.5000 0.5000 0.5000
```

Output
Calculated density, Mg/m³: 11.83
Formation energy from the elements, eV/atom: -0.38

VASP calculation (PBE) on Tb4Cd2Hg3 after structural relaxation.

Geometry as POSCAR:
```
Tb4Cd2Hg3
1.0
5.0490 0.0005 0.0011
2.5242 4.8529 0.5977
-0.0013 0.5629 9.5738
Cd Hg Tb
2 3 4
direct
0.7072 0.5854 0.2466
0.2928 0.4146 0.7534
0.3562 0.2874 0.4271
0.6438 0.7126 0.5729
0.0000 0.0000 0.0000
0.6502 0.6997 0.9005
0.3498 0.3003 0.0995
0.0411 0.9174 0.3320
0.9589 0.0826 0.6680
```

Output
Calculated density, Mg/m³: 10.43
Formation energy from the elements, eV/atom: -0.33

VASP calculation (PBE) on Tb3Cd2Hg3 after structural relaxation.

Geometry as POSCAR:
```
Tb3Cd2Hg3
1.0
-2.0043 -2.7741 -1.7279
4.2181 -3.0482 0.0009
-3.7852 -0.7923 9.9160
Hg Cd Tb
3 2 3
direct
0.0000 0.5000 0.0000
0.8786 0.8786 0.7573
0.1214 0.1214 0.2427
0.2608 0.7608 0.5215
0.7392 0.2392 0.4785
0.3681 0.3681 0.7362
0.5000 0.0000 0.0000
0.6319 0.6319 0.2638
```

Output
Calculated density, Mg/m³: 10.70
Relative energy among the computed polymorphs, meV/atom: 0
Formation energy from the elements, eV/atom: -0.37

VASP calculation (PBE) on Tb7Cd2Hg2 after structural relaxation.

Geometry as POSCAR:
```
Tb7Cd2Hg2
1.0
-5.4506 -3.9810 0.7215
3.6596 -5.7239 -3.9388
4.2583 -0.8664 5.2148
Cd Tb Hg
2 7 2
direct
0.1763 0.5000 0.1763
0.8237 0.5000 0.8237
0.0000 0.0000 0.0000
0.4997 0.2863 0.0002
0.0002 0.7137 0.4997
0.9998 0.2863 0.5003
0.4998 0.2614 0.5002
0.5002 0.7386 0.4998
0.5003 0.7137 0.9998
0.7079 0.0000 0.2921
0.2921 0.0000 0.7079
```

Output
Calculated density, Mg/m³: 8.51
Formation energy from the elements, eV/atom: -0.03

VASP calculation (PBE) on Tb4Cd2Hg after structural relaxation.

Geometry as POSCAR:
```
Tb4Cd2Hg
1.0
-4.8411 0.0288 2.0189
-3.4306 -3.7279 -1.3591
-0.1049 -6.0173 6.6482
Cd Tb Hg
2 4 1
direct
0.7489 0.7489 0.7534
0.2511 0.2511 0.2466
0.1280 0.1280 0.6161
0.8720 0.8720 0.3839
0.3802 0.3802 0.8595
0.6198 0.6198 0.1405
0.0000 0.0000 0.0000
```

Output
Calculated density, Mg/m³: 8.76
Relative energy among the computed polymorphs, meV/atom: 0
Formation energy from the elements, eV/atom: -0.19

VASP calculation (PBE) on Tb2CdHg4 after structural relaxation.

Geometry as POSCAR:
```
Tb2CdHg4
1.0
0.6361 -4.3231 -2.4921
4.4830 -1.1213 -1.9876
3.9104 -5.5806 5.6020
Hg Tb Cd
4 2 1
direct
0.8701 0.8701 0.3896
0.6198 0.6198 0.1407
0.1299 0.1299 0.6104
0.3802 0.3802 0.8593
0.7473 0.7473 0.7582
0.2527 0.2527 0.2418
0.0000 0.0000 0.0000
```

Output
Calculated density, Mg/m³: 11.21
Relative energy among the computed polymorphs, meV/atom: 0
Formation energy from the elements, eV/atom: -0.30

VASP calculation (PBE) on Tb2Cd3Hg8 after structural relaxation.

Geometry as POSCAR:
```
Tb2Cd3Hg8
1.0
6.3716 0.0000 0.7682
0.0000 7.9880 0.0000
-2.0232 -3.9940 6.5396
Hg Cd Tb
8 3 2
direct
0.1077 0.4004 0.8007
0.4277 0.4286 0.2266
0.5723 0.5714 0.7734
0.5723 0.2021 0.7734
0.4277 0.7979 0.2266
0.1961 0.8032 0.6063
0.8039 0.1968 0.3937
0.8923 0.5996 0.1993
0.0000 0.8185 0.0000
0.5000 0.0000 0.0000
0.0000 0.1815 0.0000
0.2915 0.2081 0.4162
0.7085 0.7919 0.5838
```

Output
Calculated density, Mg/m³: 10.87
Formation energy from the elements, eV/atom: -0.12